Below is an optimized crystal structure of TaZnTe3, with properties calculated at the PBE level.

Computed properties:
SG: No. 221
Energy relative to the lowest polymorph listed for this composition: 0.0 meV/atom
M_tot: 0.0 μB per formula unit
Raw formation energy: 265.3 meV per atom

Lattice parameters (Å, degrees): 5.4351 5.4351 5.4351 90.00 90.00 90.00
Fractional coordinates of all 5 atoms:
Zn 0.5000 0.5000 0.5000
Te 0.0000 0.5000 0.0000
Te 0.0000 0.0000 0.5000
Te 0.5000 0.0000 0.0000
Ta 0.0000 0.0000 0.0000

Below is an optimized crystal structure of CoPRhPb2, with properties calculated at the PBE level.

Computed properties:
SG: No. 123
Formation energy: 0.75 eV per atom
M_tot: 1.8 μB per formula unit

Lattice parameters (Å, degrees): 4.9675 4.6181 4.9675 90.00 90.00 90.00
Fractional coordinates of all 5 atoms:
Pb 0.0000 0.0000 0.5000
Pb 0.5000 0.0000 0.0000
Co 0.0000 0.0000 0.0000
Rh 0.0000 0.5000 0.0000
P 0.5000 0.5000 0.5000

Below is an optimized crystal structure of MnFe3Tc, with properties calculated at the PBE level.

Computed properties:
SG: No. 38
Energy relative to the lowest polymorph listed for this composition: 0.0 meV/atom
Formation energy: 0.56 eV per atom
M_tot: 0.6 μB per formula unit

Lattice parameters (Å, degrees): 3.5351 4.5238 4.5238 119.23 90.00 90.00
Fractional coordinates of all 5 atoms:
Mn 0.5000 0.0816 0.9184
Fe 0.5000 0.0861 0.3906
Fe 0.5000 0.6094 0.9139
Fe 0.0000 0.2582 0.7418
Tc 0.0000 0.5928 0.4072

Below is an optimized crystal structure of Li3Mg3Cu, with properties calculated at the PBE level.

Computed properties:
SG: No. 176
Energy relative to the lowest polymorph listed for this composition: 0.0 meV/atom
Formation energy: -0.02 eV per atom
M_tot: 0.0 μB per formula unit

Lattice parameters (Å, degrees): 4.7493 7.9209 7.9209 120.00 90.00 90.00
Fractional coordinates of all 14 atoms:
Li 0.7500 0.0648 0.8179
Li 0.7500 0.7531 0.9352
Li 0.2500 0.8179 0.7531
Li 0.7500 0.1821 0.2469
Li 0.2500 0.2469 0.0648
Li 0.2500 0.9352 0.1821
Mg 0.7500 0.6199 0.5229
Mg 0.7500 0.9030 0.3801
Mg 0.2500 0.5229 0.9030
Mg 0.7500 0.4771 0.0970
Mg 0.2500 0.0970 0.6199
Mg 0.2500 0.3801 0.4771
Cu 0.2500 0.6667 0.3333
Cu 0.7500 0.3333 0.6667

Below is an optimized crystal structure of In5Sn2Hg3, with properties calculated at the PBE level.

Computed properties:
SG: No. 2
Formation energy: 0.03 eV per atom
M_tot: 0.0 μB per formula unit

Lattice parameters (Å, degrees): 9.3545 8.3138 8.0056 119.50 87.66 96.48
Fractional coordinates of all 20 atoms:
In 0.7137 0.2856 0.9534
In 0.1090 0.0793 0.3620
In 0.2863 0.7144 0.0466
In 0.8910 0.9207 0.6380
In 0.9754 0.6079 0.7399
In 0.0246 0.3921 0.2601
In 0.6923 0.5148 0.4363
In 0.3077 0.4852 0.5637
In 0.4823 0.1224 0.2368
In 0.5177 0.8776 0.7632
Sn 0.8970 0.6889 0.1634
Sn 0.4156 0.1815 0.6662
Sn 0.1030 0.3111 0.8366
Sn 0.5844 0.8185 0.3338
Hg 0.6077 0.5858 0.8621
Hg 0.2158 0.7911 0.4705
Hg 0.3923 0.4142 0.1379
Hg 0.7842 0.2089 0.5295
Hg 0.1870 0.0019 0.9337
Hg 0.8130 0.9981 0.0663

Below is an optimized crystal structure of GaTePd2, with properties calculated at the PBE level.

Computed properties:
SG: No. 225
Energy relative to the lowest polymorph listed for this composition: 247.7 meV/atom
M_tot: 0.0 μB per formula unit
Raw formation energy: -248.3 meV per atom

Lattice parameters (Å, degrees): 4.6753 4.6753 4.6753 60.00 60.00 60.00
Fractional coordinates of all 4 atoms:
Te 0.5000 0.5000 0.5000
Ga 0.0000 0.0000 0.0000
Pd 0.2500 0.2500 0.2500
Pd 0.7500 0.7500 0.7500

Below is an optimized crystal structure of CaSmCl, with properties calculated at the PBE level.

Computed properties:
SG: No. 187
M_tot: 0.6 μB per formula unit
Raw formation energy: -893.5 meV per atom

Lattice parameters (Å, degrees): 3.6920 3.6920 14.6702 90.00 90.00 120.00
Fractional coordinates of all 6 atoms:
Ca 0.6111 0.2222 0.0000
Ca 0.2778 0.5556 0.5000
Sm 0.6111 0.2222 0.2896
Sm 0.6111 0.2222 0.7104
Cl 0.2777 0.5555 0.8630
Cl 0.2777 0.5555 0.1370

Below is an optimized crystal structure of Ba2Ga6NiRu, with properties calculated at the PBE level.

Computed properties:
SG: No. 12
Formation energy: -0.42 eV per atom
M_tot: 0.0 μB per formula unit

Lattice parameters (Å, degrees): 6.6917 6.8981 6.9015 57.97 61.01 90.02
Fractional coordinates of all 10 atoms:
Ba 0.7806 0.2200 0.4386
Ba 0.2194 0.7800 0.5614
Ga 0.2547 0.3201 0.4894
Ga 0.6807 0.7454 0.0636
Ga 0.2549 0.7446 0.0647
Ga 0.7451 0.2554 0.9353
Ga 0.3193 0.2546 0.9364
Ga 0.7453 0.6799 0.5106
Ni 0.5000 0.5000 0.0000
Ru 0.0000 0.0000 0.0000

Q: Which of these has the highest M_tot?
A: CoPRhPb2

Q: Among the records above, which one has the highest M_tot?
A: CoPRhPb2

Q: M_tot of number 2 (CoPRhPb2)?
A: 1.8 μB per formula unit